Density functional theory data (GGA-PBEsol) for crystalline CoTcPt2I at its relaxed geometry.

Properties
ΔE_f (raw) = 1.37 eV/atom
magnetization = 1.1 Bohr magnetons per cell

CIF file:
```
data_CoTcPt2I
_chemical_formula_sum 'Co1 Tc1 Pt2 I1'
_cell_length_a 4.810
_cell_length_b 4.810
_cell_length_c 4.379
_cell_angle_alpha 90.00
_cell_angle_beta 90.00
_cell_angle_gamma 90.00
_symmetry_space_group_name_H-M 'P 4/m m m'
_symmetry_Int_Tables_number 123
_symmetry_space_group_name_Hall '-P 4 2'
loop_
_atom_site_label
_atom_site_fract_x
_atom_site_fract_y
_atom_site_fract_z
Co1 0.000 0.000 0.000
Tc1 0.000 0.000 0.500
Pt1 0.000 0.500 0.500
I1 0.500 0.500 0.000
```